A plane-wave DFT calculation with meta-GGA SCAN was carried out for a PBEsol-optimized structure of HoMgAg2.

Geometry as POSCAR:
```
HoMgAg2
1.0
-3.914 -2.195 1.836
-3.089 -2.307 -2.940
-0.255 -4.841 0.069
Mg Ag Ho
1 2 1
Direct
0.000 0.000 0.000
0.250 0.250 0.250
0.750 0.750 0.750
0.500 0.500 0.500
```

**Calculated formation energy**: -352.3 meV/atom
**E**: -29.53 eV per atom
**Symmetry**: Fm-3m, No. 225
**Calculated volume**: 80.61 Å³/f.u.